DFT (PBE-GGA) results for a relaxed structure of AcZnCuPt.

Values from the calculation:
total magnetization	0.0000	μB/atom
DFT total energy	-35.91	eV/cell
volume	174.7	Å³ per cell

Cell lengths 7.6869, 4.4309, 5.7388 Å; angles 90.00, 116.63, 90.00 degrees
Last column: nearest neighbours and their distance in Å.
Space group Cm (No. 8)
Symmetry-distinct sites (fractional):
Ac: 0.0000 0.0000 0.0000 (multiplicity 2)  4 Cu 3.05-3.30, 4 Pt 3.15-3.25
Zn: 0.4944 0.0000 0.4835 (multiplicity 2)  3 Pt 2.61, 3 Cu 2.62-2.63
Cu: 0.1981 0.0000 0.5947 (multiplicity 2)  3 Zn 2.62-2.63, 3 Pt 2.77-2.78
Pt: 0.2952 0.5000 0.3868 (multiplicity 2)  3 Zn 2.61, 3 Cu 2.77-2.78